The following is a DFT calculation (PBE) of a relaxed Nd4AsP2Cl crystal.

```
data_Nd4AsP2Cl
_chemical_formula_sum 'Nd4 As1 P2 Cl1'
_space_group_name_H-M_alt 'P 1 2/m 1'
_space_group_IT_number 10
_space_group_name_Hall '-P 2y'
_cell_length_a 7.220
_cell_length_b 4.171
_cell_length_c 7.320
_cell_angle_alpha 90.00
_cell_angle_beta 109.08
_cell_angle_gamma 90.00
loop_
_atom_site_label
_atom_site_type_symbol
_atom_site_fract_x
_atom_site_fract_y
_atom_site_fract_z
Nd1 Nd 0.233 0.000 0.227
Nd2 Nd 0.247 0.500 0.764
As1 As 0.000 0.000 0.500
P1 P 0.000 0.500 0.000
P2 P 0.500 0.000 0.000
Cl1 Cl 0.500 0.500 0.500
```

Summary:
Uncorrected formation energy in eV per formula unit: -12.86
Density of states at the Fermi level in states/eV/atom: 0.351
Total energy in eV per atom: -6.16
Size of the total moment in μB per formula unit: 0.0



The following is a DFT calculation (PBE) of a relaxed Nd4As2PCl crystal.

```
data_Nd4As2PCl
_chemical_formula_sum 'Nd4 As2 P1 Cl1'
_space_group_name_H-M_alt 'P 1 2/m 1'
_space_group_IT_number 10
_space_group_name_Hall '-P 2y'
_cell_length_a 7.257
_cell_length_b 4.217
_cell_length_c 7.340
_cell_angle_alpha 90.00
_cell_angle_beta 109.34
_cell_angle_gamma 90.00
loop_
_atom_site_label
_atom_site_type_symbol
_atom_site_fract_x
_atom_site_fract_y
_atom_site_fract_z
Nd1 Nd 0.240 0.000 0.233
Nd2 Nd 0.251 0.500 0.761
As1 As 0.000 0.000 0.500
As2 As 0.000 0.500 0.000
P1 P 0.500 0.000 0.000
Cl1 Cl 0.500 0.500 0.500
```

Summary:
Uncorrected formation energy in eV per formula unit: -12.58
Density of states at the Fermi level in states/eV/atom: 0.339
Total energy in eV per atom: -6.03
Size of the total moment in μB per formula unit: 0.0



The following is a DFT calculation (PBE) of a relaxed Nd3AsPCl crystal.

```
data_Nd3AsPCl
_chemical_formula_sum 'Nd6 As2 P2 Cl2'
_space_group_name_H-M_alt 'P 1 21/m 1'
_space_group_IT_number 11
_space_group_name_Hall '-P 2yb'
_cell_length_a 8.457
_cell_length_b 4.220
_cell_length_c 9.404
_cell_angle_alpha 90.00
_cell_angle_beta 102.29
_cell_angle_gamma 90.00
loop_
_atom_site_label
_atom_site_type_symbol
_atom_site_fract_x
_atom_site_fract_y
_atom_site_fract_z
Nd1 Nd 0.083 0.250 0.349
Nd2 Nd 0.216 0.250 0.993
Nd3 Nd 0.397 0.750 0.631
As1 As 0.325 0.750 0.290
P1 P 0.158 0.250 0.659
Cl1 Cl 0.395 0.750 0.922
```

Summary:
Uncorrected formation energy in eV per formula unit: -8.17
Density of states at the Fermi level in states/eV/atom: 0.441
Total energy in eV per atom: -5.73
Size of the total moment in μB per formula unit: 0.6



The following is a DFT calculation (PBE) of a relaxed PmNdAsCl crystal.

```
data_PmNdAsCl
_chemical_formula_sum 'Pm4 Nd4 As4 Cl4'
_space_group_name_H-M_alt 'F -4 3 m'
_space_group_IT_number 216
_space_group_name_Hall 'F -4 2 3'
_cell_length_a 7.241
_cell_length_b 7.241
_cell_length_c 7.241
_cell_angle_alpha 90.00
_cell_angle_beta 90.00
_cell_angle_gamma 90.00
loop_
_atom_site_label
_atom_site_type_symbol
_atom_site_fract_x
_atom_site_fract_y
_atom_site_fract_z
Pm1 Pm 0.000 0.000 0.000
Nd1 Nd 0.000 0.000 0.500
As1 As 0.250 0.250 0.250
Cl1 Cl 0.250 0.250 0.750
```

Summary:
Uncorrected formation energy in eV per formula unit: -5.36
Density of states at the Fermi level in states/eV/atom: 0.699
Total energy in eV per atom: -5.34
Size of the total moment in μB per formula unit: 0.0



The following is a DFT calculation (PBE) of a relaxed Nd4AsPtCl2 crystal.

```
data_Nd4AsPtCl2
_chemical_formula_sum 'Nd4 As1 Pt1 Cl2'
_space_group_name_H-M_alt 'P 1 2/m 1'
_space_group_IT_number 10
_space_group_name_Hall '-P 2y'
_cell_length_a 7.263
_cell_length_b 4.148
_cell_length_c 7.575
_cell_angle_alpha 90.00
_cell_angle_beta 108.63
_cell_angle_gamma 90.00
loop_
_atom_site_label
_atom_site_type_symbol
_atom_site_fract_x
_atom_site_fract_y
_atom_site_fract_z
Nd1 Nd 0.222 0.000 0.229
Nd2 Nd 0.232 0.500 0.744
As1 As 0.000 0.000 0.500
Pt1 Pt 0.000 0.500 0.000
Cl1 Cl 0.500 0.000 0.000
Cl2 Cl 0.500 0.500 0.500
```

Summary:
Uncorrected formation energy in eV per formula unit: -11.23
Density of states at the Fermi level in states/eV/atom: 0.685
Total energy in eV per atom: -5.59
Size of the total moment in μB per formula unit: 0.0



The following is a DFT calculation (PBE) of a relaxed Nd8As3S4Cl crystal.

```
data_Nd8As3S4Cl
_chemical_formula_sum 'Nd24 As9 S12 Cl3'
_space_group_name_H-M_alt 'R -3 m'
_space_group_IT_number 166
_space_group_name_Hall '-R 3 2"'
_cell_length_a 8.3390
_cell_length_b 8.3390
_cell_length_c 20.3509
_cell_angle_alpha 90.00
_cell_angle_beta 90.00
_cell_angle_gamma 120.00
loop_
_atom_site_label
_atom_site_type_symbol
_atom_site_fract_x
_atom_site_fract_y
_atom_site_fract_z
Nd1 Nd 0.0000 0.0000 0.2492
Nd2 Nd 0.0162 0.5081 0.2448
As1 As 0.0000 0.5000 0.0000
S1 S 0.0000 0.0000 0.5000
S2 S 0.0000 0.5000 0.5000
Cl1 Cl 0.0000 0.0000 0.0000
```

Summary:
Uncorrected formation energy in eV per formula unit: -28.66
Density of states at the Fermi level in states/eV/atom: 0.438
Total energy in eV per atom: -6.19
Size of the total moment in μB per formula unit: 0.0



The following is a DFT calculation (PBE) of a relaxed Nd4As2SCl crystal.

```
data_Nd4As2SCl
_chemical_formula_sum 'Nd4 As2 S1 Cl1'
_space_group_name_H-M_alt 'P 1 2/m 1'
_space_group_IT_number 10
_space_group_name_Hall '-P 2y'
_cell_length_a 7.211
_cell_length_b 4.201
_cell_length_c 7.332
_cell_angle_alpha 90.00
_cell_angle_beta 109.46
_cell_angle_gamma 90.00
loop_
_atom_site_label
_atom_site_type_symbol
_atom_site_fract_x
_atom_site_fract_y
_atom_site_fract_z
Nd1 Nd 0.237 0.000 0.233
Nd2 Nd 0.245 0.500 0.761
As1 As 0.000 0.000 0.500
As2 As 0.000 0.500 0.000
S1 S 0.500 0.000 0.000
Cl1 Cl 0.500 0.500 0.500
```

Summary:
Uncorrected formation energy in eV per formula unit: -13.32
Density of states at the Fermi level in states/eV/atom: 0.437
Total energy in eV per atom: -5.96
Size of the total moment in μB per formula unit: 0.0



The following is a DFT calculation (PBE) of a relaxed Nd4AsS2Cl crystal.

```
data_Nd4AsS2Cl
_chemical_formula_sum 'Nd4 As1 S2 Cl1'
_space_group_name_H-M_alt 'P 1 2/m 1'
_space_group_IT_number 10
_space_group_name_Hall '-P 2y'
_cell_length_a 7.173
_cell_length_b 4.157
_cell_length_c 7.199
_cell_angle_alpha 90.00
_cell_angle_beta 109.63
_cell_angle_gamma 90.00
loop_
_atom_site_label
_atom_site_type_symbol
_atom_site_fract_x
_atom_site_fract_y
_atom_site_fract_z
Nd1 Nd 0.226 0.000 0.222
Nd2 Nd 0.240 0.500 0.767
As1 As 0.000 0.000 0.500
S1 S 0.000 0.500 0.000
S2 S 0.500 0.000 0.000
Cl1 Cl 0.500 0.500 0.500
```

Summary:
Uncorrected formation energy in eV per formula unit: -14.22
Density of states at the Fermi level in states/eV/atom: 0.326
Total energy in eV per atom: -6.01
Size of the total moment in μB per formula unit: 0.0



The following is a DFT calculation (PBE) of a relaxed Nd3AsSCl crystal.

```
data_Nd3AsSCl
_chemical_formula_sum 'Nd6 As2 S2 Cl2'
_space_group_name_H-M_alt 'P 1 21/m 1'
_space_group_IT_number 11
_space_group_name_Hall '-P 2yb'
_cell_length_a 8.307
_cell_length_b 4.033
_cell_length_c 10.263
_cell_angle_alpha 90.00
_cell_angle_beta 109.11
_cell_angle_gamma 90.00
loop_
_atom_site_label
_atom_site_type_symbol
_atom_site_fract_x
_atom_site_fract_y
_atom_site_fract_z
Nd1 Nd 0.031 0.250 0.323
Nd2 Nd 0.225 0.250 0.053
Nd3 Nd 0.408 0.750 0.612
As1 As 0.301 0.750 0.296
S1 S 0.174 0.250 0.613
Cl1 Cl 0.336 0.750 0.898
```

Summary:
Uncorrected formation energy in eV per formula unit: -9.36
Density of states at the Fermi level in states/eV/atom: 0.605
Total energy in eV per atom: -5.72
Size of the total moment in μB per formula unit: 0.5



The following is a DFT calculation (PBE) of a relaxed Nd4As2SeCl crystal.

```
data_Nd4As2SeCl
_chemical_formula_sum 'Nd4 As2 Se1 Cl1'
_space_group_name_H-M_alt 'P 1 2/m 1'
_space_group_IT_number 10
_space_group_name_Hall '-P 2y'
_cell_length_a 7.340
_cell_length_b 4.232
_cell_length_c 7.406
_cell_angle_alpha 90.00
_cell_angle_beta 109.23
_cell_angle_gamma 90.00
loop_
_atom_site_label
_atom_site_type_symbol
_atom_site_fract_x
_atom_site_fract_y
_atom_site_fract_z
Nd1 Nd 0.235 0.000 0.228
Nd2 Nd 0.248 0.500 0.768
As1 As 0.000 0.500 0.000
As2 As 0.500 0.000 0.000
Se1 Se 0.000 0.000 0.500
Cl1 Cl 0.500 0.500 0.500
```

Summary:
Uncorrected formation energy in eV per formula unit: -13.11
Density of states at the Fermi level in states/eV/atom: 0.454
Total energy in eV per atom: -5.85
Size of the total moment in μB per formula unit: 0.0



The following is a DFT calculation (PBE) of a relaxed Nd4AsSe2Cl crystal.

```
data_Nd4AsSe2Cl
_chemical_formula_sum 'Nd4 As1 Se2 Cl1'
_space_group_name_H-M_alt 'P 1 2/m 1'
_space_group_IT_number 10
_space_group_name_Hall '-P 2y'
_cell_length_a 7.311
_cell_length_b 4.247
_cell_length_c 7.343
_cell_angle_alpha 90.00
_cell_angle_beta 109.62
_cell_angle_gamma 90.00
loop_
_atom_site_label
_atom_site_type_symbol
_atom_site_fract_x
_atom_site_fract_y
_atom_site_fract_z
Nd1 Nd 0.236 0.000 0.228
Nd2 Nd 0.249 0.500 0.767
As1 As 0.500 0.000 0.000
Se1 Se 0.000 0.000 0.500
Se2 Se 0.000 0.500 0.000
Cl1 Cl 0.500 0.500 0.500
```

Summary:
Uncorrected formation energy in eV per formula unit: -13.38
Density of states at the Fermi level in states/eV/atom: 0.410
Total energy in eV per atom: -5.74
Size of the total moment in μB per formula unit: 0.0



The following is a DFT calculation (PBE) of a relaxed Nd4SiAsCl2 crystal.

```
data_Nd4SiAsCl2
_chemical_formula_sum 'Nd4 Si1 As1 Cl2'
_space_group_name_H-M_alt 'P 1 2/m 1'
_space_group_IT_number 10
_space_group_name_Hall '-P 2y'
_cell_length_a 7.350
_cell_length_b 4.234
_cell_length_c 7.365
_cell_angle_alpha 90.00
_cell_angle_beta 109.44
_cell_angle_gamma 90.00
loop_
_atom_site_label
_atom_site_type_symbol
_atom_site_fract_x
_atom_site_fract_y
_atom_site_fract_z
Nd1 Nd 0.224 0.000 0.235
Nd2 Nd 0.224 0.500 0.749
Si1 Si 0.000 0.500 0.000
As1 As 0.000 0.000 0.500
Cl1 Cl 0.500 0.000 0.000
Cl2 Cl 0.500 0.500 0.500
```

Summary:
Uncorrected formation energy in eV per formula unit: -10.95
Density of states at the Fermi level in states/eV/atom: 0.483
Total energy in eV per atom: -5.47
Size of the total moment in μB per formula unit: 0.0